Entry 1:
Entry from Alexandria: SrZn4Cu2 after structural relaxation (PBE).

The uncorrected energy comes out at -2.25 eV/atom. Its crystal system is monoclinic. For the formation energy, the calculation gives -0.11 eV/atom. The total magnetization is 0.0 μB/cell.

a = 8.468 Å, b = 6.735 Å, c = 5.182 Å
α = 90.00°, β = 127.13°, γ = 90.00°
Fractional positions:
Sr 0.000 0.000 0.000
Sr 0.500 0.500 0.000
Zn 0.191 0.191 0.691
Zn 0.191 0.809 0.691
Zn 0.309 0.309 0.309
Zn 0.309 0.691 0.309
Zn 0.691 0.309 0.691
Zn 0.691 0.691 0.691
Zn 0.809 0.191 0.309
Zn 0.809 0.809 0.309
Cu 0.000 0.500 0.250
Cu 0.000 0.500 0.750
Cu 0.500 0.000 0.250
Cu 0.500 0.000 0.750

***

Entry 2:
Entry from Alexandria: Sr3ZnCu after structural relaxation (PBE).

The uncorrected energy comes out at -1.96 eV/atom. Its crystal system is cubic. For the formation energy, the calculation gives 0.12 eV/atom. The total magnetization is 0.0 μB/cell. For the excess energy over the best structure of this formula in the dataset, the calculation gives 0.000 eV per atom.

a = 5.896 Å, b = 5.896 Å, c = 5.896 Å
α = 90.00°, β = 90.00°, γ = 90.00°
Fractional positions:
Sr 0.000 0.000 0.500
Sr 0.000 0.500 0.000
Sr 0.500 0.000 0.000
Zn 0.500 0.500 0.500
Cu 0.000 0.000 0.000

***

Entry 3:
Entry from Alexandria: Sr2Zn6Cu3 after structural relaxation (PBE).

The uncorrected energy comes out at -2.24 eV/atom. Its crystal system is hexagonal. For the formation energy, the calculation gives -0.12 eV/atom. The total magnetization is 0.0 μB/cell.

a = 7.762 Å, b = 7.762 Å, c = 4.114 Å
α = 90.00°, β = 90.00°, γ = 120.00°
Fractional positions:
Sr 0.333 0.667 0.000
Sr 0.667 0.333 0.000
Zn 0.000 0.192 0.000
Zn 0.000 0.715 0.500
Zn 0.192 0.000 0.000
Zn 0.285 0.285 0.500
Zn 0.715 0.000 0.500
Zn 0.808 0.808 0.000
Cu 0.000 0.377 0.500
Cu 0.377 0.000 0.500
Cu 0.623 0.623 0.500

***

Entry 4:
Entry from Alexandria: Sr2Zn5Cu3 after structural relaxation (PBE).

The uncorrected energy comes out at -2.35 eV/atom. Its crystal system is tetragonal. For the formation energy, the calculation gives -0.14 eV/atom. The total magnetization is 0.0 μB/cell. For the excess energy over the best structure of this formula in the dataset, the calculation gives 0.013 eV per atom.

a = 4.423 Å, b = 4.423 Å, c = 10.121 Å
α = 90.00°, β = 90.00°, γ = 90.00°
Fractional positions:
Sr 0.000 0.500 0.240
Sr 0.500 0.000 0.760
Zn 0.000 0.000 0.500
Zn 0.000 0.500 0.635
Zn 0.500 0.000 0.365
Zn 0.500 0.500 0.000
Zn 0.500 0.500 0.500
Cu 0.000 0.000 0.000
Cu 0.000 0.500 0.883
Cu 0.500 0.000 0.117

***

Entry 5:
Entry from Alexandria: SrZn2Cu6 after structural relaxation (PBE).

The uncorrected energy comes out at -3.08 eV/atom. Its crystal system is orthorhombic. For the formation energy, the calculation gives 0.12 eV/atom. The total magnetization is 0.0 μB/cell.

a = 6.978 Å, b = 6.978 Å, c = 6.978 Å
α = 147.63°, β = 121.69°, γ = 68.29°
Fractional positions:
Sr 0.000 0.000 0.000
Zn 0.376 0.876 0.500
Zn 0.624 0.124 0.500
Cu 0.006 0.307 0.699
Cu 0.331 0.500 0.831
Cu 0.392 0.693 0.699
Cu 0.608 0.307 0.301
Cu 0.669 0.500 0.169
Cu 0.994 0.693 0.301

***

Entry 6:
Entry from Alexandria: SrZn7Cu12 after structural relaxation (PBE).

The uncorrected energy comes out at -2.95 eV/atom. Its crystal system is trigonal. For the formation energy, the calculation gives 0.04 eV/atom. The total magnetization is 0.0 μB/cell.

a = 7.554 Å, b = 7.554 Å, c = 7.554 Å
α = 112.23°, β = 112.23°, γ = 112.23°
Fractional positions:
Sr 0.000 0.000 0.000
Zn 0.196 0.196 0.544
Zn 0.196 0.544 0.196
Zn 0.456 0.804 0.804
Zn 0.500 0.500 0.500
Zn 0.544 0.196 0.196
Zn 0.804 0.456 0.804
Zn 0.804 0.804 0.456
Cu 0.000 0.271 0.729
Cu 0.000 0.729 0.271
Cu 0.064 0.404 0.404
Cu 0.271 0.000 0.729
Cu 0.271 0.729 0.000
Cu 0.404 0.064 0.404
Cu 0.404 0.404 0.064
Cu 0.596 0.596 0.936
Cu 0.596 0.936 0.596
Cu 0.729 0.000 0.271
Cu 0.729 0.271 0.000
Cu 0.936 0.596 0.596